Density functional theory data (PBE) for an optimized crystal structure of CuSi2MoS.

abc: 4.7242 4.7242 4.8154
angles: 90.00 90.00 90.00
With the nearest neighbours (Å) after each atom.
Space group P4/mmm (No. 123)
Asymmetric unit:
Cu  0.0000  0.0000  0.0000 x1  2 Mo 2.41
Si  0.0000  0.5000  0.5000 x2  2 Mo 2.36
Mo  0.0000  0.0000  0.5000 x1  4 Si 2.36, 2 Cu 2.41
S  0.5000  0.5000  0.0000 x1  4 Cu 3.34, 8 Si 3.37

Summary:
Uncorrected formation energy: 1.155 eV/atom
Total magnetic moment: 1.528 μB/f.u.
Volume: 107.47 Å³/cell
D(E_F): 5.7 states/eV per cell
VASP energy: -4.825 eV/atom